! CaPm2Nd | the Alexandria database | PBE | optimized geometry; values from VASP
! - Energy: -0.148 hartree per atom
! - Energy of formation from the pure elements: 1.1 kcal/mol of atoms
! - Crystal system: tetragonal
! - Energy above the most stable polymorph in this dataset: 0.006 eV/atom
&SYSTEM
  ibrav = 0, nat = 4, ntyp = 3
/
ATOMIC_SPECIES
Ca 40.08 Ca.upf
Nd 144.24 Nd.upf
Pm 145.00 Pm.upf
ATOMIC_POSITIONS crystal
Ca 0.5000 0.5000 0.5000
Nd 0.5000 0.5000 0.0000
Pm 0.0000 0.0000 0.7644
Pm 0.0000 0.0000 0.2356
CELL_PARAMETERS angstrom
-2.5171 -0.1157 -2.7069
2.1105 -2.4006 -1.8600
-4.8583 -8.0380 4.8614